V5O12 | GGA+U | optimized geometry

Unit cell a=5.513 b=8.279 c=9.012 alpha=90.00 beta=94.44 gamma=90.00
Space group C2 (No. 5)
Symmetry-distinct sites (fractional):
1 V 0.000 0.000 0.000
2 V 0.000 0.168 0.500
3 V 0.000 0.547 0.500
4 V 0.220 0.342 0.780
5 O 0.046 0.358 0.367
6 O 0.049 0.860 0.855
7 O 0.121 0.185 0.877
8 O 0.168 0.683 0.389
9 O 0.181 0.504 0.902
10 O 0.188 0.026 0.394

Summary:
Relative energy among the computed polymorphs = 93 meV/atom
Calculated total energy = -7.43 eV/atom